# 1
The following is a PBE calculation of a relaxed structure of TbReNO, from OQMD.

Values from the calculation:
Total DFT energy (no corrections) in eV per atom: -8.900

Unit cell a=3.795 b=3.795 c=7.796 alpha=90.00 beta=90.00 gamma=90.00
Sites, in units of the cell vectors:
N 0.750 0.750 0.373
N 0.250 0.250 0.627
O 0.750 0.250 0.000
O 0.250 0.750 0.000
Re 0.750 0.250 0.500
Re 0.250 0.750 0.500
Tb 0.250 0.250 0.147
Tb 0.750 0.750 0.853


# 2
The following is a PBE calculation of a relaxed structure of TlReNO, from OQMD.

Values from the calculation:
Total DFT energy (no corrections) in eV per atom: -7.144

Unit cell a=6.184 b=8.871 c=4.997 alpha=90.00 beta=90.00 gamma=90.00
Sites, in units of the cell vectors:
N 0.071 0.187 0.011
N 0.571 0.813 0.011
N 0.429 0.187 0.511
N 0.929 0.813 0.511
O 0.423 0.494 0.161
O 0.923 0.506 0.161
O 0.077 0.494 0.661
O 0.577 0.506 0.661
Re 0.155 0.373 0.020
Re 0.655 0.627 0.020
Re 0.345 0.373 0.520
Re 0.845 0.627 0.520
Tl 0.569 0.144 0.010
Tl 0.069 0.856 0.010
Tl 0.931 0.144 0.510
Tl 0.431 0.856 0.510


# 3
The following is a PBE calculation of a relaxed structure of TlReNO, from OQMD.

Values from the calculation:
Total DFT energy (no corrections) in eV per atom: -6.433

Unit cell a=4.437 b=4.437 c=5.515 alpha=90.00 beta=90.00 gamma=90.00
Sites, in units of the cell vectors:
N 0.000 0.500 0.270
N 0.500 0.000 0.730
O 0.000 0.000 0.000
O 0.500 0.500 0.000
Re 0.500 0.000 0.046
Re 0.000 0.500 0.954
Tl 0.000 0.000 0.500
Tl 0.500 0.500 0.500


# 4
The following is a PBE calculation of a relaxed structure of TlReNO, from OQMD.

Values from the calculation:
Total DFT energy (no corrections) in eV per atom: -6.788

Unit cell a=3.905 b=3.905 c=7.485 alpha=90.00 beta=90.00 gamma=90.00
Sites, in units of the cell vectors:
N 0.000 0.500 0.404
N 0.500 0.000 0.596
O 0.000 0.000 0.000
O 0.500 0.500 0.000
Re 0.000 0.000 0.500
Re 0.500 0.500 0.500
Tl 0.500 0.000 0.155
Tl 0.000 0.500 0.845


# 5
The following is a PBE calculation of a relaxed structure of TlReNO, from OQMD.

Values from the calculation:
Total DFT energy (no corrections) in eV per atom: -7.229

Unit cell a=3.590 b=5.462 c=6.808 alpha=90.00 beta=90.00 gamma=90.00
Sites, in units of the cell vectors:
N 0.000 0.948 0.143
N 0.000 0.448 0.857
O 0.500 0.302 0.189
O 0.500 0.802 0.811
Re 0.500 0.950 0.066
Re 0.500 0.450 0.934
Tl 0.000 0.554 0.381
Tl 0.000 0.054 0.619


# 6
The following is a PBE calculation of a relaxed structure of TlReNO, from OQMD.

Values from the calculation:
Total DFT energy (no corrections) in eV per atom: -7.196

Unit cell a=3.496 b=6.433 c=6.527 alpha=90.00 beta=90.00 gamma=90.00
Sites, in units of the cell vectors:
N 0.000 0.787 0.429
N 0.000 0.287 0.571
O 0.500 0.449 0.265
O 0.500 0.949 0.735
Re 0.000 0.505 0.379
Re 0.000 0.005 0.621
Tl 0.500 0.013 0.157
Tl 0.500 0.513 0.843


# 7
The following is a PBE calculation of a relaxed structure of TlReNO, from OQMD.

Values from the calculation:
Total DFT energy (no corrections) in eV per atom: -7.323

Unit cell a=7.017 b=7.802 c=4.984 alpha=90.00 beta=90.00 gamma=90.00
Sites, in units of the cell vectors:
N 0.313 0.018 0.171
N 0.813 0.982 0.171
N 0.187 0.018 0.671
N 0.687 0.982 0.671
O 0.005 0.289 0.006
O 0.505 0.711 0.006
O 0.495 0.289 0.506
O 0.995 0.711 0.506
Re 0.055 0.057 0.015
Re 0.555 0.943 0.015
Re 0.445 0.057 0.515
Re 0.945 0.943 0.515
Tl 0.584 0.361 0.011
Tl 0.084 0.639 0.011
Tl 0.916 0.361 0.511
Tl 0.416 0.639 0.511


# 8
The following is a PBE calculation of a relaxed structure of TlReNO, from OQMD.

Values from the calculation:
Total DFT energy (no corrections) in eV per atom: -6.795

Unit cell a=4.126 b=4.126 c=8.944 alpha=90.00 beta=90.00 gamma=90.00
Sites, in units of the cell vectors:
N 0.750 0.750 0.262
N 0.250 0.250 0.738
O 0.750 0.250 0.000
O 0.250 0.750 0.000
Re 0.750 0.750 0.073
Re 0.250 0.250 0.927
Tl 0.750 0.250 0.500
Tl 0.250 0.750 0.500